# Tm2TeP | OQMD | PBE-GGA | relaxed
# Calculated volume   99.1 Å³ per cell
# Space-group type   R-3m (166)
# Electronic total energy   -23.5 eV per cell
data_Tm2TeP
_symmetry_space_group_name_H-M 'P 1'
_symmetry_Int_Tables_number 1
_symmetry_space_group_name_Hall 'P 1'
_cell_length_a 4.058
_cell_length_b 4.058
_cell_length_c 7.331
_cell_angle_alpha 106.05
_cell_angle_beta 106.05
_cell_angle_gamma 60.01
loop_
_atom_site_label
_atom_site_type_symbol
_atom_site_fract_x
_atom_site_fract_y
_atom_site_fract_z
Tm1 Tm 0.736 0.736 0.208
P1 P 0.000 0.000 0.000
Tm2 Tm 0.264 0.264 0.792
Te1 Te 0.500 0.500 0.500

# ThP2 | OQMD | PBE-GGA | relaxed
# Calculated volume   261.6 Å³ per cell
# Space-group type   Pnma (62)
# Electronic total energy   -85.9 eV per cell
data_ThP2
_symmetry_space_group_name_H-M 'P 1'
_symmetry_Int_Tables_number 1
_symmetry_space_group_name_Hall 'P 1'
_cell_length_a 7.191
_cell_length_b 3.855
_cell_length_c 9.436
_cell_angle_alpha 90.00
_cell_angle_beta 90.00
_cell_angle_gamma 90.00
loop_
_atom_site_label
_atom_site_type_symbol
_atom_site_fract_x
_atom_site_fract_y
_atom_site_fract_z
P1 P 0.106 0.250 0.161
P2 P 0.394 0.750 0.661
P3 P 0.915 0.750 0.460
P4 P 0.894 0.750 0.839
P5 P 0.585 0.250 0.960
Th1 Th 0.700 0.250 0.652
P6 P 0.415 0.750 0.040
P7 P 0.085 0.250 0.540
Th2 Th 0.200 0.250 0.848
Th3 Th 0.800 0.750 0.152
P8 P 0.606 0.250 0.339
Th4 Th 0.300 0.750 0.348

# Y3ThP4 | OQMD | PBE-GGA | relaxed
# Calculated volume   187.4 Å³ per cell
# Space-group type   Cmmm (65)
# Electronic total energy   -61.4 eV per cell
data_Y3ThP4
_symmetry_space_group_name_H-M 'P 1'
_symmetry_Int_Tables_number 1
_symmetry_space_group_name_Hall 'P 1'
_cell_length_a 7.003
_cell_length_b 7.003
_cell_length_c 4.054
_cell_angle_alpha 90.00
_cell_angle_beta 90.00
_cell_angle_gamma 109.49
loop_
_atom_site_label
_atom_site_type_symbol
_atom_site_fract_x
_atom_site_fract_y
_atom_site_fract_z
Y1 Y 0.500 0.500 0.500
Y2 Y 0.500 0.000 0.000
P1 P 0.748 0.252 0.500
Th1 Th 0.000 0.000 0.500
P2 P 0.746 0.746 0.000
P3 P 0.254 0.254 0.000
Y3 Y 0.000 0.500 0.000
P4 P 0.252 0.748 0.500

# Zr3TlP5 | OQMD | PBE-GGA | relaxed
# Calculated volume   194.5 Å³ per cell
# Space-group type   P6/mmm (191)
# Electronic total energy   -59.6 eV per cell
data_Zr3TlP5
_symmetry_space_group_name_H-M 'P 1'
_symmetry_Int_Tables_number 1
_symmetry_space_group_name_Hall 'P 1'
_cell_length_a 6.125
_cell_length_b 6.125
_cell_length_c 5.988
_cell_angle_alpha 90.00
_cell_angle_beta 90.00
_cell_angle_gamma 120.00
loop_
_atom_site_label
_atom_site_type_symbol
_atom_site_fract_x
_atom_site_fract_y
_atom_site_fract_z
Zr1 Zr 0.500 0.000 0.500
P1 P 0.000 0.000 0.500
P2 P 0.333 0.667 0.180
P3 P 0.667 0.333 0.180
P4 P 0.333 0.667 0.820
P5 P 0.667 0.333 0.820
Zr2 Zr 0.500 0.500 0.500
Zr3 Zr 0.000 0.500 0.500
Tl1 Tl 0.000 0.000 0.000

# Tm5P3 | OQMD | PBE-GGA | relaxed
# Calculated volume   339.4 Å³ per cell
# Space-group type   P6_3/mcm (193)
# Electronic total energy   -94.9 eV per cell
data_Tm5P3
_symmetry_space_group_name_H-M 'P 1'
_symmetry_Int_Tables_number 1
_symmetry_space_group_name_Hall 'P 1'
_cell_length_a 8.123
_cell_length_b 8.123
_cell_length_c 5.941
_cell_angle_alpha 90.00
_cell_angle_beta 90.00
_cell_angle_gamma 120.00
loop_
_atom_site_label
_atom_site_type_symbol
_atom_site_fract_x
_atom_site_fract_y
_atom_site_fract_z
P1 P 0.611 0.000 0.250
Tm1 Tm 0.333 0.667 0.500
Tm2 Tm 0.000 0.251 0.250
Tm3 Tm 0.251 0.000 0.250
Tm4 Tm 0.667 0.333 0.000
P2 P 0.389 0.000 0.750
Tm5 Tm 0.667 0.333 0.500
Tm6 Tm 0.251 0.251 0.750
P3 P 0.000 0.611 0.250
P4 P 0.611 0.611 0.750
Tm7 Tm 0.749 0.000 0.750
Tm8 Tm 0.000 0.749 0.750
P5 P 0.389 0.389 0.250
Tm9 Tm 0.333 0.667 0.000
Tm10 Tm 0.749 0.749 0.250
P6 P 0.000 0.389 0.750

# Y2TmP3 | OQMD | PBE-GGA | relaxed
# Calculated volume   134.7 Å³ per cell
# Space-group type   P-3m1 (164)
# Electronic total energy   -43.3 eV per cell
data_Y2TmP3
_symmetry_space_group_name_H-M 'P 1'
_symmetry_Int_Tables_number 1
_symmetry_space_group_name_Hall 'P 1'
_cell_length_a 3.990
_cell_length_b 3.990
_cell_length_c 9.766
_cell_angle_alpha 90.00
_cell_angle_beta 90.00
_cell_angle_gamma 120.00
loop_
_atom_site_label
_atom_site_type_symbol
_atom_site_fract_x
_atom_site_fract_y
_atom_site_fract_z
P1 P 0.000 0.000 0.000
P2 P 0.333 0.667 0.337
Tm1 Tm 0.000 0.000 0.500
Y1 Y 0.333 0.667 0.832
P3 P 0.667 0.333 0.663
Y2 Y 0.667 0.333 0.168

# YTmZr2P2 | OQMD | PBE-GGA | relaxed
# Calculated volume   123.6 Å³ per cell
# Space-group type   I4mm (107)
# Electronic total energy   -45.1 eV per cell
data_YTmZr2P2
_symmetry_space_group_name_H-M 'P 1'
_symmetry_Int_Tables_number 1
_symmetry_space_group_name_Hall 'P 1'
_cell_length_a 8.217
_cell_length_b 8.217
_cell_length_c 8.217
_cell_angle_alpha 151.80
_cell_angle_beta 151.80
_cell_angle_gamma 40.30
loop_
_atom_site_label
_atom_site_type_symbol
_atom_site_fract_x
_atom_site_fract_y
_atom_site_fract_z
Tm1 Tm 0.678 0.678 0.000
P1 P 0.132 0.132 0.000
Y1 Y 0.321 0.321 0.000
Zr1 Zr 0.000 0.500 0.500
Zr2 Zr 0.500 0.000 0.500
P2 P 0.868 0.868 0.000

# Tm3ZrP4 | OQMD | PBE-GGA | relaxed
# Calculated volume   165.8 Å³ per cell
# Space-group type   Cmmm (65)
# Electronic total energy   -56.0 eV per cell
data_Tm3ZrP4
_symmetry_space_group_name_H-M 'P 1'
_symmetry_Int_Tables_number 1
_symmetry_space_group_name_Hall 'P 1'
_cell_length_a 6.731
_cell_length_b 6.731
_cell_length_c 3.878
_cell_angle_alpha 90.00
_cell_angle_beta 90.00
_cell_angle_gamma 109.33
loop_
_atom_site_label
_atom_site_type_symbol
_atom_site_fract_x
_atom_site_fract_y
_atom_site_fract_z
P1 P 0.246 0.754 0.000
Zr1 Zr 0.000 0.000 0.000
P2 P 0.242 0.242 0.500
Tm1 Tm 0.000 0.500 0.500
P3 P 0.754 0.246 0.000
Tm2 Tm 0.500 0.500 0.000
Tm3 Tm 0.500 0.000 0.500
P4 P 0.758 0.758 0.500

# TmZr2P3 | OQMD | PBE-GGA | relaxed
# Calculated volume   116.7 Å³ per cell
# Space-group type   P-3m1 (164)
# Electronic total energy   -46.4 eV per cell
data_TmZr2P3
_symmetry_space_group_name_H-M 'P 1'
_symmetry_Int_Tables_number 1
_symmetry_space_group_name_Hall 'P 1'
_cell_length_a 3.807
_cell_length_b 3.807
_cell_length_c 9.303
_cell_angle_alpha 90.00
_cell_angle_beta 90.00
_cell_angle_gamma 120.00
loop_
_atom_site_label
_atom_site_type_symbol
_atom_site_fract_x
_atom_site_fract_y
_atom_site_fract_z
P1 P 0.333 0.667 0.323
Tm1 Tm 0.000 0.000 0.500
P2 P 0.667 0.333 0.677
Zr1 Zr 0.667 0.333 0.155
P3 P 0.000 0.000 0.000
Zr2 Zr 0.333 0.667 0.845

# Tm2ZrP3 | OQMD | PBE-GGA | relaxed
# Calculated volume   122.9 Å³ per cell
# Space-group type   P-3m1 (164)
# Electronic total energy   -42.9 eV per cell
data_Tm2ZrP3
_symmetry_space_group_name_H-M 'P 1'
_symmetry_Int_Tables_number 1
_symmetry_space_group_name_Hall 'P 1'
_cell_length_a 3.859
_cell_length_b 3.859
_cell_length_c 9.532
_cell_angle_alpha 90.00
_cell_angle_beta 90.00
_cell_angle_gamma 120.00
loop_
_atom_site_label
_atom_site_type_symbol
_atom_site_fract_x
_atom_site_fract_y
_atom_site_fract_z
Tm1 Tm 0.667 0.333 0.170
P1 P 0.333 0.667 0.342
P2 P 0.000 0.000 0.000
P3 P 0.667 0.333 0.658
Tm2 Tm 0.333 0.667 0.830
Zr1 Zr 0.000 0.000 0.500

# UP | OQMD | PBE-GGA | relaxed
# Calculated volume   158.7 Å³ per cell
# Space-group type   Pmma (51)
# Electronic total energy   -70.3 eV per cell
data_UP
_symmetry_space_group_name_H-M 'P 1'
_symmetry_Int_Tables_number 1
_symmetry_space_group_name_Hall 'P 1'
_cell_length_a 5.582
_cell_length_b 5.331
_cell_length_c 5.333
_cell_angle_alpha 90.00
_cell_angle_beta 90.00
_cell_angle_gamma 90.00
loop_
_atom_site_label
_atom_site_type_symbol
_atom_site_fract_x
_atom_site_fract_y
_atom_site_fract_z
U1 U 0.000 0.500 0.500
P1 P 0.750 0.000 0.600
P2 P 0.250 0.000 0.400
U2 U 0.250 0.000 0.909
U3 U 0.500 0.500 0.500
U4 U 0.750 0.000 0.091
P3 P 0.750 0.500 0.008
P4 P 0.250 0.500 0.992

Question: electronic total energy of number 5 (Tm5P3)?
Answer: -94.9 eV per cell